Entry 1:
A geometry-optimized MnHgPbI2 structure, computed with PBE-GGA.

a = 6.042 Å, b = 6.042 Å, c = 5.721 Å
α = 90.00°, β = 90.00°, γ = 90.00°
Element x y z (fractional)
Mn 0.000 0.000 0.000
Hg 0.500 0.500 0.500
Pb 0.500 0.500 0.000
I 0.000 0.500 0.500
I 0.500 0.000 0.500

Properties
Fermi-level density of states = 0.81 states/eV per atom
E_form (uncorrected) = 667 meV per atom
Final energy = -2.589 eV/atom


Entry 2:
A geometry-optimized MnHgPb2I structure, computed with PBE-GGA.

a = 5.831 Å, b = 5.831 Å, c = 5.257 Å
α = 90.00°, β = 90.00°, γ = 90.00°
Element x y z (fractional)
Mn 0.000 0.000 0.000
Hg 0.000 0.000 0.500
Pb 0.000 0.500 0.500
Pb 0.500 0.000 0.500
I 0.500 0.500 0.000

Properties
Fermi-level density of states = 0.78 states/eV per atom
E_form (uncorrected) = 515 meV per atom
Final energy = -3.173 eV/atom


Entry 3:
A geometry-optimized RbMnHgI4 structure, computed with PBE-GGA.

a = 8.307 Å, b = 8.757 Å, c = 9.618 Å
α = 90.00°, β = 91.17°, γ = 90.00°
Element x y z (fractional)
Rb 0.193 0.250 0.054
Rb 0.807 0.750 0.946
Mn 0.279 0.750 0.787
Mn 0.721 0.250 0.213
Hg 0.394 0.250 0.680
Hg 0.606 0.750 0.320
I 0.103 0.501 0.743
I 0.103 0.999 0.743
I 0.364 0.750 0.058
I 0.455 0.250 0.363
I 0.545 0.750 0.637
I 0.636 0.250 0.942
I 0.897 0.001 0.257
I 0.897 0.499 0.257

Properties
Fermi-level density of states = 0.33 states/eV per atom
E_form (uncorrected) = -610 meV per atom
Final energy = -2.987 eV/atom


Entry 4:
A geometry-optimized Rb2Mn2HgI6 structure, computed with PBE-GGA.

a = 8.916 Å, b = 8.937 Å, c = 9.548 Å
α = 62.48°, β = 62.48°, γ = 74.79°
Element x y z (fractional)
Rb 0.246 0.247 0.082
Rb 0.754 0.753 0.918
Mn 0.423 0.422 0.529
Mn 0.577 0.578 0.471
Hg 0.000 0.000 0.000
I 0.118 0.501 0.707
I 0.440 0.437 0.248
I 0.498 0.881 0.293
I 0.502 0.119 0.707
I 0.560 0.563 0.752
I 0.882 0.499 0.293

Properties
E_form (uncorrected) = -548 meV per atom
Final energy = -3.264 eV/atom


Entry 5:
A geometry-optimized RbMn2HgI8 structure, computed with PBE-GGA.

a = 7.488 Å, b = 7.488 Å, c = 10.438 Å
α = 90.00°, β = 90.00°, γ = 120.00°
Element x y z (fractional)
Rb 0.000 0.000 0.000
Mn 0.333 0.667 0.744
Mn 0.667 0.333 0.256
Hg 0.000 0.000 0.500
I 0.007 0.677 0.323
I 0.323 0.330 0.323
I 0.330 0.007 0.677
I 0.333 0.667 0.994
I 0.667 0.333 0.006
I 0.670 0.993 0.323
I 0.677 0.670 0.677
I 0.993 0.323 0.677

Properties
Fermi-level density of states = 0.72 states/eV per atom
E_form (uncorrected) = -488 meV per atom
Final energy = -3.155 eV/atom


Entry 6:
A geometry-optimized MnHgSbI2 structure, computed with PBE-GGA.

a = 5.970 Å, b = 5.970 Å, c = 5.670 Å
α = 90.00°, β = 90.00°, γ = 90.00°
Element x y z (fractional)
Mn 0.000 0.000 0.000
Hg 0.500 0.500 0.500
Sb 0.500 0.500 0.000
I 0.000 0.500 0.500
I 0.500 0.000 0.500

Properties
Fermi-level density of states = 0.32 states/eV per atom
E_form (uncorrected) = 744 meV per atom
Final energy = -2.594 eV/atom
Excess energy over the best structure of this formula in the dataset = 0.357 eV/atom


Entry 7:
A geometry-optimized MnHgSbI2 structure, computed with PBE-GGA.

a = 5.580 Å, b = 5.580 Å, c = 4.928 Å
α = 90.00°, β = 90.00°, γ = 90.00°
Element x y z (fractional)
Mn 0.000 0.000 0.000
Hg 0.500 0.500 0.500
Sb 0.000 0.000 0.500
I 0.000 0.500 0.000
I 0.500 0.000 0.000

Properties
Fermi-level density of states = 1.00 states/eV per atom
E_form (uncorrected) = 388 meV per atom
Final energy = -2.951 eV/atom
Excess energy over the best structure of this formula in the dataset = 0.000 eV/atom


Entry 8:
A geometry-optimized ScMnHg2I structure, computed with PBE-GGA.

a = 6.165 Å, b = 6.165 Å, c = 4.829 Å
α = 90.00°, β = 90.00°, γ = 90.00°
Element x y z (fractional)
Sc 0.000 0.000 0.000
Mn 0.500 0.500 0.000
Hg 0.000 0.500 0.500
Hg 0.500 0.000 0.500
I 0.500 0.500 0.500

Properties
Fermi-level density of states = 1.81 states/eV per atom
E_form (uncorrected) = 1003 meV per atom
Final energy = -2.528 eV/atom


Entry 9:
A geometry-optimized Ta2MnHgI structure, computed with PBE-GGA.

a = 5.240 Å, b = 5.240 Å, c = 4.987 Å
α = 90.00°, β = 90.00°, γ = 90.00°
Element x y z (fractional)
Ta 0.000 0.500 0.000
Ta 0.500 0.000 0.000
Mn 0.000 0.000 0.500
Hg 0.000 0.000 0.000
I 0.500 0.500 0.500

Properties
Fermi-level density of states = 0.91 states/eV per atom
E_form (uncorrected) = 1859 meV per atom
Final energy = -5.086 eV/atom


Entry 10:
A geometry-optimized MnHgTe2I structure, computed with PBE-GGA.

a = 5.630 Å, b = 5.630 Å, c = 5.874 Å
α = 90.00°, β = 90.00°, γ = 90.00°
Element x y z (fractional)
Mn 0.000 0.000 0.000
Hg 0.500 0.500 0.500
Te 0.000 0.500 0.500
Te 0.500 0.000 0.500
I 0.500 0.500 0.000

Properties
Fermi-level density of states = 1.21 states/eV per atom
E_form (uncorrected) = 760 meV per atom
Final energy = -2.701 eV/atom
Excess energy over the best structure of this formula in the dataset = 0.402 eV/atom


Entry 11:
A geometry-optimized MnHgTe2I structure, computed with PBE-GGA.

a = 4.986 Å, b = 4.986 Å, c = 5.833 Å
α = 90.00°, β = 90.00°, γ = 90.00°
Element x y z (fractional)
Mn 0.000 0.000 0.000
Hg 0.500 0.500 0.500
Te 0.000 0.500 0.000
Te 0.500 0.000 0.000
I 0.000 0.000 0.500

Properties
Fermi-level density of states = 1.33 states/eV per atom
E_form (uncorrected) = 358 meV per atom
Final energy = -3.103 eV/atom
Excess energy over the best structure of this formula in the dataset = 0.000 eV/atom


Entry 12:
A geometry-optimized TiMnHgI6 structure, computed with PBE-GGA.

a = 7.211 Å, b = 7.211 Å, c = 9.384 Å
α = 90.00°, β = 90.00°, γ = 120.00°
Element x y z (fractional)
Ti 0.000 0.000 0.000
Mn 0.667 0.333 0.000
Hg 0.333 0.667 0.500
I 0.323 0.022 0.172
I 0.323 0.300 0.828
I 0.700 0.022 0.828
I 0.700 0.677 0.172
I 0.978 0.300 0.172
I 0.978 0.677 0.828

Properties
Fermi-level density of states = 0.09 states/eV per atom
E_form (uncorrected) = -515 meV per atom
Final energy = -3.478 eV/atom